(1)
# PBE PuThIn, optimized geometry
data_PuThIn
_cell_length_a 5.400
_cell_length_b 3.473
_cell_length_c 8.595
_cell_angle_alpha 90.00
_cell_angle_beta 107.91
_cell_angle_gamma 90.00
_space_group_name_H-M_alt 'P 1 21/m 1'
_space_group_IT_number 11
loop_
_space_group_symop_operation_xyz
'x,y,z'
'-x,-y,-z'
'-x,y+1/2,-z'
'x,-y+1/2,z'
loop_
_atom_site_label
_atom_site_type_symbol
_atom_site_fract_x
_atom_site_fract_y
_atom_site_fract_z
_atom_site_occupancy
Pu1 Pu 0.045 0.250 0.093 1
Th1 Th 0.407 0.250 0.810 1
In1 In 0.220 0.750 0.445 1
# Energy above the lowest structure with this stoichiometry, meV per atom: 32
# Total magnetization, μB per atom: 0.000
# Crystal system: monoclinic
# DFT formation energy, eV per formula unit: -0.094

---

(2)
# PBE PuThIn2, optimized geometry
data_PuThIn2
_cell_length_a 4.133
_cell_length_b 4.133
_cell_length_c 6.505
_cell_angle_alpha 90.00
_cell_angle_beta 90.00
_cell_angle_gamma 90.00
_space_group_name_H-M_alt 'P 4/m m m'
_space_group_IT_number 123
_space_group_name_Hall '-P 4 2'
loop_
_atom_site_label
_atom_site_type_symbol
_atom_site_fract_x
_atom_site_fract_y
_atom_site_fract_z
_atom_site_occupancy
Pu1 Pu 0.000 0.000 0.000 1
Th1 Th 0.000 0.000 0.500 1
In1 In 0.500 0.500 0.243 1
# Energy above the lowest structure with this stoichiometry, meV per atom: 54
# Total magnetization, μB per atom: 1.582
# Crystal system: tetragonal
# DFT formation energy, eV per formula unit: -0.634